(1)
# ZnGa2ReRh

ZnGa2ReRh after structural relaxation (PBE, Alexandria via LeMat-Bulk).

```
ZnGa2ReRh
1.0
4.658 0.000 0.000
0.000 4.658 0.000
0.000 0.000 4.885
Zn Ga Re Rh
1 2 1 1
direct
0.000 0.000 0.000 Zn
0.000 0.500 0.500 Ga
0.500 0.000 0.500 Ga
0.500 0.500 0.000 Re
0.500 0.500 0.500 Rh
```

Results
DOS at the Fermi energy	4.152	states/eV/f.u.
calculated formation energy	410	kJ/mol of formula units
space-group type	P4/mmm (123)
final energy	-22.87	eV for the cell shown

(2)
# PmS2

PmS2 after structural relaxation (PBE, Alexandria via LeMat-Bulk).

```
PmS2
1.0
8.093 0.000 0.000
0.000 4.015 0.000
-0.020 0.000 8.013
Pm S
4 8
direct
0.224 0.212 0.371 Pm
0.224 0.288 0.871 Pm
0.776 0.712 0.129 Pm
0.776 0.788 0.629 Pm
0.133 0.740 0.126 S
0.133 0.760 0.626 S
0.497 0.658 0.391 S
0.497 0.842 0.891 S
0.503 0.158 0.109 S
0.503 0.342 0.609 S
0.867 0.240 0.374 S
0.867 0.260 0.874 S
```

Results
DOS at the Fermi energy	0.072	states/eV/f.u.
space-group type	P2_1/c (14)
final energy	-72.98	eV for the cell shown
formation energy from raw total energies	-1747	meV/atom

(3)
# Na2ScTeW

Na2ScTeW after structural relaxation (PBE, Alexandria via LeMat-Bulk).

```
Na2ScTeW
1.0
5.328 0.000 0.000
0.000 5.328 0.000
0.000 0.000 5.127
Na Sc Te W
2 1 1 1
direct
0.000 0.500 0.000 Na
0.500 0.000 0.000 Na
0.000 0.000 0.500 Sc
0.500 0.500 0.000 Te
0.500 0.500 0.500 W
```

Results
DOS at the Fermi energy	3.596	states/eV/f.u.
space-group type	P4/mmm (123)
final energy	-19.85	eV for the cell shown
formation energy from raw total energies	1043	meV/atom